# Zr2Au

Zr2Au at its PBEsol-relaxed geometry (meta-GGA SCAN, the Alexandria database).

It has space group P4/mmm (No. 123), with a = 4.478 Å, b = 4.478 Å, c = 3.458 Å, α = 90.00°, β = 90.00° and γ = 90.00°. The inequivalent atoms are Zr at (0.000, 0.500, 0.000) and Au at (0.000, 0.000, 0.500).

For the electronic total energy, the calculation gives -43.6855 eV per atom.